# 1
The following is a DFT calculation (PBE) of a geometry-optimized NbPb structure.

Properties
E above lowest polymorph, eV/atom: 0.118
Total magnetization, Bohr magnetons per cell: 0.0
Calculated total energy, eV/f.u.: -13.05
D(E_F), states/eV/cell: 2.65

Lattice parameters (Å, degrees): 3.2079 4.8713 5.9250 90.00 104.44 90.00
With the nearest neighbours (Å) after each atom.
Atoms (fractional coordinates):
Nb 0.1617 0.2500 0.1203  4 Nb 2.88-3.21, 4 Pb 2.90-3.12
Nb 0.8383 0.7500 0.8797  4 Nb 2.88-3.21, 4 Pb 2.90-3.12
Pb 0.3269 0.2500 0.6612  4 Nb 2.90-3.12, 2 Pb 3.21
Pb 0.6731 0.7500 0.3388  4 Nb 2.90-3.12, 2 Pb 3.21

=====

# 2
The following is a DFT calculation (PBE) of a geometry-optimized Sr3Zn3Au8 structure.

Properties
E above lowest polymorph, eV/atom: 0.021
Total magnetization, Bohr magnetons per cell: 0.0
Calculated total energy, eV/f.u.: -42.59
D(E_F), states/eV/cell: 5.03

Lattice parameters (Å, degrees): 8.6936 8.6936 8.6936 148.88 110.17 78.41
With the nearest neighbours (Å) after each atom.
Atoms (fractional coordinates):
Sr 0.0000 0.0000 0.0000  12 Au 3.34-3.52, 4 Zn 3.67
Sr 0.2981 0.2981 0.0000  10 Au 3.26-3.61, 4 Zn 3.46-3.58
Sr 0.7019 0.7019 0.0000  10 Au 3.26-3.61, 4 Zn 3.46-3.58
Zn 0.2850 0.5000 0.7850  6 Au 2.65-2.83
Zn 0.5000 0.0000 0.5000  4 Au 2.60
Zn 0.7150 0.5000 0.2150  6 Au 2.65-2.83
Au 0.0242 0.6653 0.3589  1 Zn 2.65, 3 Au 2.81-2.86
Au 0.1757 0.8809 0.2949  3 Zn 2.60-2.83, 2 Au 2.86
Au 0.3064 0.6653 0.6411  1 Zn 2.65, 3 Au 2.81-2.86
Au 0.4140 0.1191 0.2949  3 Zn 2.60-2.83, 2 Au 2.86
Au 0.5860 0.8809 0.7051  3 Zn 2.60-2.83, 2 Au 2.86
Au 0.6936 0.3347 0.3589  1 Zn 2.65, 3 Au 2.81-2.86
Au 0.8243 0.1191 0.7051  3 Zn 2.60-2.83, 2 Au 2.86
Au 0.9758 0.3347 0.6411  1 Zn 2.65, 3 Au 2.81-2.86

=====

# 3
The following is a DFT calculation (PBE) of a geometry-optimized Mg4HIr3 structure.

Properties
E above lowest polymorph, eV/atom: 0.038
Total magnetization, Bohr magnetons per cell: 0.0
Calculated total energy, eV/f.u.: -38.33
D(E_F), states/eV/cell: 3.89

Lattice parameters (Å, degrees): 4.6155 5.0855 5.3746 99.66 107.75 93.37
With the nearest neighbours (Å) after each atom.
Atoms (fractional coordinates):
Mg 0.0897 0.2846 0.1581  1 H 2.26
Mg 0.2360 0.8413 0.4682  1 H 2.18
Mg 0.7640 0.1587 0.5318  1 H 2.18
Mg 0.9103 0.7154 0.8419  1 H 2.26
H 0.5000 0.5000 0.5000  2 Ir 1.79
Ir 0.3379 0.4010 0.7378  1 H 1.79
Ir 0.5000 0.0000 0.0000  2 Ir 2.68, 6 Mg 2.70-2.82
Ir 0.6621 0.5990 0.2622  1 H 1.79

=====

# 4
The following is a DFT calculation (PBE) of a geometry-optimized KBa2NbSn structure.

Properties
Total magnetization, Bohr magnetons per cell: 3.4
Calculated total energy, eV/f.u.: -12.41
D(E_F), states/eV/cell: 6.05

Lattice parameters (Å, degrees): 6.2816 6.2816 5.7773 90.00 90.00 90.00
With the nearest neighbours (Å) after each atom.
Atoms (fractional coordinates):
K 0.0000 0.0000 0.0000  2 Sn 2.89, 4 Ba 3.14
Ba 0.0000 0.5000 0.0000  2 K 3.14
Ba 0.5000 0.0000 0.0000  2 K 3.14
Nb 0.5000 0.5000 0.5000  8 Ba 4.27, 4 Sn 4.44
Sn 0.0000 0.0000 0.5000  2 K 2.89

=====

# 5
The following is a DFT calculation (PBE) of a geometry-optimized K2CeAsSe4 structure.

Properties
ΔE_f (raw), eV/atom: -1.07
Total magnetization, Bohr magnetons per cell: 1.6
Calculated total energy, eV/f.u.: -35.27
D(E_F), states/eV/cell: 9.12

Lattice parameters (Å, degrees): 8.7096 8.7096 8.7096 120.07 119.40 90.46
With the nearest neighbours (Å) after each atom.
Atoms (fractional coordinates):
K 0.0000 0.0000 0.0000  6 Se 3.21-3.24
K 0.5000 0.0000 0.0000  6 Se 3.34-3.37
K 0.5000 0.0000 0.5000  6 Se 3.21-3.24
K 0.5000 0.5000 0.5000  6 Se 3.34-3.37
Ce 0.0000 0.5000 0.5000  6 Se 2.97
Ce 0.5000 0.5000 0.0000  6 Se 2.97
As 0.0000 0.0000 0.5000  6 Se 2.81-2.84
As 0.0000 0.5000 0.0000  6 Se 2.81-2.84
Se 0.1978 0.7400 0.4578  2 As 2.84, 1 Ce 2.97
Se 0.2178 0.2600 0.9578  2 As 2.84, 1 Ce 2.97
Se 0.2282 0.2509 0.5227  1 As 2.81, 2 Ce 2.97
Se 0.2282 0.7056 0.9773  1 As 2.81, 2 Ce 2.97
Se 0.7718 0.2944 0.0227  1 As 2.81, 2 Ce 2.97
Se 0.7718 0.7491 0.4773  1 As 2.81, 2 Ce 2.97
Se 0.7822 0.7400 0.0422  2 As 2.84, 1 Ce 2.97
Se 0.8022 0.2600 0.5422  2 As 2.84, 1 Ce 2.97

=====

# 6
The following is a DFT calculation (PBE) of a geometry-optimized KMoP2 structure.

Properties
E above lowest polymorph, eV/atom: 0.141
Total magnetization, Bohr magnetons per cell: 0.0
Calculated total energy, eV/f.u.: -23.40
D(E_F), states/eV/cell: 3.50

Lattice parameters (Å, degrees): 8.0426 8.0426 8.0426 136.85 136.85 62.67
With the nearest neighbours (Å) after each atom.
Atoms (fractional coordinates):
K 0.3750 0.6250 0.7500  8 P 3.73
K 0.6250 0.3750 0.2500  8 P 3.73
Mo 0.1250 0.8750 0.2500  4 P 2.27
Mo 0.8750 0.1250 0.7500  4 P 2.27
P 0.0000 0.0000 0.0000  2 Mo 2.27
P 0.0000 0.0000 0.5000  2 Mo 2.27
P 0.0000 0.5000 0.0000  2 Mo 2.27
P 0.5000 0.0000 0.5000  2 Mo 2.27

=====

# 7
The following is a DFT calculation (PBE) of a geometry-optimized Ac3Dy3ErSe8 structure.

Properties
ΔE_f (raw), eV/atom: -1.85
Total magnetization, Bohr magnetons per cell: 0.0
Calculated total energy, eV/f.u.: -86.35
D(E_F), states/eV/cell: 7.16

Lattice parameters (Å, degrees): 8.6281 8.6281 8.6281 57.89 57.89 57.89
With the nearest neighbours (Å) after each atom.
Atoms (fractional coordinates):
Ac 0.0000 0.5000 0.5000  6 Se 3.12-3.13
Ac 0.5000 0.0000 0.5000  6 Se 3.12-3.13
Ac 0.5000 0.5000 0.0000  6 Se 3.12-3.13
Dy 0.0000 0.0000 0.5000  6 Se 2.88-2.89
Dy 0.0000 0.5000 0.0000  6 Se 2.88-2.89
Dy 0.5000 0.0000 0.0000  6 Se 2.88-2.89
Er 0.5000 0.5000 0.5000  6 Se 2.91
Se 0.2389 0.7427 0.7427  2 Dy 2.89, 1 Er 2.91, 2 Ac 3.12
Se 0.2405 0.2405 0.2405  3 Dy 2.88, 3 Ac 3.13
Se 0.2573 0.2573 0.7611  2 Dy 2.89, 1 Er 2.91, 2 Ac 3.12
Se 0.2573 0.7611 0.2573  2 Dy 2.89, 1 Er 2.91, 2 Ac 3.12
Se 0.7427 0.2389 0.7427  2 Dy 2.89, 1 Er 2.91, 2 Ac 3.12
Se 0.7427 0.7427 0.2389  2 Dy 2.89, 1 Er 2.91, 2 Ac 3.12
Se 0.7595 0.7595 0.7595  3 Dy 2.88, 3 Ac 3.13
Se 0.7611 0.2573 0.2573  2 Dy 2.89, 1 Er 2.91, 2 Ac 3.12

=====

# 8
The following is a DFT calculation (PBE) of a geometry-optimized Rb2Nd2TiS6 structure.

Properties
ΔE_f (raw), eV/atom: -1.63
Total magnetization, Bohr magnetons per cell: 0.0
Calculated total energy, eV/f.u.: -62.06

Lattice parameters (Å, degrees): 6.8749 6.8749 8.1977 98.48 98.48 119.16
With the nearest neighbours (Å) after each atom.
Atoms (fractional coordinates):
Rb 0.1717 0.8283 0.0000  6 S 3.32-3.49
Rb 0.8283 0.1717 0.0000  6 S 3.32-3.49
Nd 0.3334 0.6666 0.5000  6 S 2.82-2.85
Nd 0.6666 0.3334 0.5000  6 S 2.82-2.85
Ti 0.0000 0.0000 0.5000  6 S 2.49-2.51
S 0.0640 0.3624 0.6852  1 Ti 2.51
S 0.2295 0.2295 0.3173  1 Ti 2.49
S 0.3624 0.0640 0.6852  1 Ti 2.51
S 0.6376 0.9360 0.3148  1 Ti 2.51
S 0.7705 0.7705 0.6827  1 Ti 2.49
S 0.9360 0.6376 0.3148  1 Ti 2.51

=====

# 9
The following is a DFT calculation (PBE) of a geometry-optimized Ag12Te5As3 structure.

Properties
ΔE_f (raw), eV/atom: 0.13
Total magnetization, Bohr magnetons per cell: 0.0
Calculated total energy, eV/f.u.: -61.19
D(E_F), states/eV/cell: 62.68

Lattice parameters (Å, degrees): 13.8320 13.8320 13.8320 109.47 109.47 109.47
With the nearest neighbours (Å) after each atom.
Atoms (fractional coordinates):
Ag 0.0619 0.6333 0.3925  1 As 2.61, 2 Te 2.73-2.82, 1 Ag 2.87
Ag 0.0619 0.9286 0.6694  1 As 2.61, 2 Te 2.73-2.82, 1 Ag 2.87
Ag 0.0714 0.2408 0.1333  1 As 2.61, 2 Te 2.73-2.82, 1 Ag 2.87
Ag 0.0714 0.3306 0.9381  1 As 2.61, 2 Te 2.73-2.82, 1 Ag 2.87
Ag 0.1075 0.7408 0.6694  1 As 2.61, 2 Te 2.73-2.82, 1 Ag 2.87
Ag 0.1075 0.8667 0.4381  1 As 2.61, 2 Te 2.73-2.82, 1 Ag 2.87
Ag 0.1333 0.0714 0.2408  1 As 2.61, 2 Te 2.73-2.82, 1 Ag 2.87
Ag 0.1333 0.5619 0.8925  1 As 2.61, 2 Te 2.73-2.82, 1 Ag 2.87
Ag 0.1694 0.2408 0.6075  1 As 2.61, 2 Te 2.73-2.82, 1 Ag 2.87
Ag 0.1694 0.4286 0.5619  1 As 2.61, 2 Te 2.73-2.82, 1 Ag 2.87
Ag 0.2408 0.1333 0.0714  1 As 2.61, 2 Te 2.73-2.82, 1 Ag 2.87
Ag 0.2408 0.6075 0.1694  1 As 2.61, 2 Te 2.73-2.82, 1 Ag 2.87
Ag 0.2592 0.3306 0.8925  1 As 2.61, 2 Te 2.73-2.82, 1 Ag 2.87
Ag 0.2592 0.4286 0.3667  1 As 2.61, 2 Te 2.73-2.82, 1 Ag 2.87
Ag 0.3306 0.8925 0.2592  1 As 2.61, 2 Te 2.73-2.82, 1 Ag 2.87
Ag 0.3306 0.9381 0.0714  1 As 2.61, 2 Te 2.73-2.82, 1 Ag 2.87
Ag 0.3667 0.2592 0.4286  1 As 2.61, 2 Te 2.73-2.82, 1 Ag 2.87
Ag 0.3667 0.6075 0.9381  1 As 2.61, 2 Te 2.73-2.82, 1 Ag 2.87
Ag 0.3925 0.0619 0.6333  1 As 2.61, 2 Te 2.73-2.82, 1 Ag 2.87
Ag 0.3925 0.8306 0.7592  1 As 2.61, 2 Te 2.73-2.82, 1 Ag 2.87
Ag 0.4286 0.3667 0.2592  1 As 2.61, 2 Te 2.73-2.82, 1 Ag 2.87
Ag 0.4286 0.5619 0.1694  1 As 2.61, 2 Te 2.73-2.82, 1 Ag 2.87
Ag 0.4381 0.1075 0.8667  1 As 2.61, 2 Te 2.73-2.82, 1 Ag 2.87
Ag 0.4381 0.8306 0.5714  1 As 2.61, 2 Te 2.73-2.82, 1 Ag 2.87
Ag 0.5619 0.1694 0.4286  1 As 2.61, 2 Te 2.73-2.82, 1 Ag 2.87
Ag 0.5619 0.8925 0.1333  1 As 2.61, 2 Te 2.73-2.82, 1 Ag 2.87
Ag 0.5714 0.4381 0.8306  1 As 2.61, 2 Te 2.73-2.82, 1 Ag 2.87
Ag 0.5714 0.6333 0.7408  1 As 2.61, 2 Te 2.73-2.82, 1 Ag 2.87
Ag 0.6075 0.1694 0.2408  1 As 2.61, 2 Te 2.73-2.82, 1 Ag 2.87
Ag 0.6075 0.9381 0.3667  1 As 2.61, 2 Te 2.73-2.82, 1 Ag 2.87
Ag 0.6333 0.3925 0.0619  1 As 2.61, 2 Te 2.73-2.82, 1 Ag 2.87
Ag 0.6333 0.7408 0.5714  1 As 2.61, 2 Te 2.73-2.82, 1 Ag 2.87
Ag 0.6694 0.0619 0.9286  1 As 2.61, 2 Te 2.73-2.82, 1 Ag 2.87
Ag 0.6694 0.1075 0.7408  1 As 2.61, 2 Te 2.73-2.82, 1 Ag 2.87
Ag 0.7408 0.5714 0.6333  1 As 2.61, 2 Te 2.73-2.82, 1 Ag 2.87
Ag 0.7408 0.6694 0.1075  1 As 2.61, 2 Te 2.73-2.82, 1 Ag 2.87
Ag 0.7592 0.3925 0.8306  1 As 2.61, 2 Te 2.73-2.82, 1 Ag 2.87
Ag 0.7592 0.8667 0.9286  1 As 2.61, 2 Te 2.73-2.82, 1 Ag 2.87
Ag 0.8306 0.5714 0.4381  1 As 2.61, 2 Te 2.73-2.82, 1 Ag 2.87
Ag 0.8306 0.7592 0.3925  1 As 2.61, 2 Te 2.73-2.82, 1 Ag 2.87
Ag 0.8667 0.4381 0.1075  1 As 2.61, 2 Te 2.73-2.82, 1 Ag 2.87
Ag 0.8667 0.9286 0.7592  1 As 2.61, 2 Te 2.73-2.82, 1 Ag 2.87
Ag 0.8925 0.1333 0.5619  1 As 2.61, 2 Te 2.73-2.82, 1 Ag 2.87
Ag 0.8925 0.2592 0.3306  1 As 2.61, 2 Te 2.73-2.82, 1 Ag 2.87
Ag 0.9286 0.6694 0.0619  1 As 2.61, 2 Te 2.73-2.82, 1 Ag 2.87
Ag 0.9286 0.7592 0.8667  1 As 2.61, 2 Te 2.73-2.82, 1 Ag 2.87
Ag 0.9381 0.0714 0.3306  1 As 2.61, 2 Te 2.73-2.82, 1 Ag 2.87
Ag 0.9381 0.3667 0.6075  1 As 2.61, 2 Te 2.73-2.82, 1 Ag 2.87
Te 0.0000 0.0000 0.0000  6 Ag 2.82
Te 0.0000 0.0000 0.5000  6 Ag 2.82
Te 0.0000 0.5000 0.0000  6 Ag 2.82
Te 0.0000 0.5000 0.5000  6 Ag 2.82
Te 0.1250 0.7500 0.8750  4 Ag 2.73
Te 0.1250 0.8750 0.2500  4 Ag 2.73
Te 0.2500 0.1250 0.8750  4 Ag 2.73
Te 0.2500 0.6250 0.3750  4 Ag 2.73
Te 0.3750 0.2500 0.6250  4 Ag 2.73
Te 0.3750 0.6250 0.7500  4 Ag 2.73
Te 0.5000 0.0000 0.0000  6 Ag 2.82
Te 0.5000 0.0000 0.5000  6 Ag 2.82
Te 0.5000 0.5000 0.0000  6 Ag 2.82
Te 0.5000 0.5000 0.5000  6 Ag 2.82
Te 0.6250 0.3750 0.2500  4 Ag 2.73
Te 0.6250 0.7500 0.3750  4 Ag 2.73
Te 0.7500 0.3750 0.6250  4 Ag 2.73
Te 0.7500 0.8750 0.1250  4 Ag 2.73
Te 0.8750 0.1250 0.7500  4 Ag 2.73
Te 0.8750 0.2500 0.1250  4 Ag 2.73
As 0.1250 0.2500 0.3750  4 Ag 2.61
As 0.1250 0.3750 0.7500  4 Ag 2.61
As 0.2500 0.3750 0.1250  4 Ag 2.61
As 0.2500 0.8750 0.6250  4 Ag 2.61
As 0.3750 0.1250 0.2500  4 Ag 2.61
As 0.3750 0.7500 0.1250  4 Ag 2.61
As 0.6250 0.2500 0.8750  4 Ag 2.61
As 0.6250 0.8750 0.7500  4 Ag 2.61
As 0.7500 0.1250 0.3750  4 Ag 2.61
As 0.7500 0.6250 0.8750  4 Ag 2.61
As 0.8750 0.6250 0.2500  4 Ag 2.61
As 0.8750 0.7500 0.6250  4 Ag 2.61

=====

# 10
The following is a DFT calculation (PBE) of a geometry-optimized SmY6Tm5 structure.

Properties
Total magnetization, Bohr magnetons per cell: 0.0
Calculated total energy, eV/f.u.: -65.54
D(E_F), states/eV/cell: 17.68

Lattice parameters (Å, degrees): 6.1292 6.1292 11.7454 94.98 94.98 119.94
With the nearest neighbours (Å) after each atom.
Atoms (fractional coordinates):
Sm 0.0000 0.0000 0.0000  6 Tm 3.54, 6 Y 3.55-3.56
Y 0.0838 0.4176 0.2513  5 Tm 3.53-3.55, 6 Y 3.54-3.55, 1 Sm 3.56
Y 0.2500 0.2500 0.7487  5 Tm 3.53-3.55, 6 Y 3.54-3.55, 1 Sm 3.55
Y 0.4176 0.0838 0.2513  5 Tm 3.53-3.55, 6 Y 3.54-3.55, 1 Sm 3.56
Y 0.5824 0.9162 0.7487  5 Tm 3.53-3.55, 6 Y 3.54-3.55, 1 Sm 3.56
Y 0.7500 0.7500 0.2513  5 Tm 3.53-3.55, 6 Y 3.54-3.55, 1 Sm 3.55
Y 0.9162 0.5824 0.7487  5 Tm 3.53-3.55, 6 Y 3.54-3.55, 1 Sm 3.56
Tm 0.1670 0.8330 0.5000  6 Y 3.53, 6 Tm 3.53-3.54
Tm 0.3334 0.6666 0.0000  3 Tm 3.54, 3 Sm 3.54, 6 Y 3.55
Tm 0.5000 0.5000 0.5000  6 Y 3.53, 6 Tm 3.53-3.54
Tm 0.6666 0.3334 0.0000  3 Tm 3.54, 3 Sm 3.54, 6 Y 3.55
Tm 0.8330 0.1670 0.5000  6 Y 3.53, 6 Tm 3.53-3.54

=====

# 11
The following is a DFT calculation (PBE) of a geometry-optimized ZrMnAl2 structure.

Properties
Total magnetization, Bohr magnetons per cell: 0.0
Calculated total energy, eV/f.u.: -24.24
D(E_F), states/eV/cell: 8.52

Lattice parameters (Å, degrees): 10.0038 10.0038 10.0038 158.14 158.14 31.11
With the nearest neighbours (Å) after each atom.
Atoms (fractional coordinates):
Zr 0.0000 0.0000 0.0000  4 Mn 2.68, 4 Al 2.78
Zr 0.7500 0.2500 0.5000  4 Mn 2.68, 4 Al 2.78
Mn 0.2500 0.7500 0.5000  4 Zr 2.68, 4 Al 2.74
Mn 0.5000 0.5000 0.0000  4 Zr 2.68, 4 Al 2.74
Al 0.1418 0.6250 0.0168  4 Al 2.59-2.77, 2 Mn 2.74, 2 Zr 2.78
Al 0.3750 0.3918 0.5168  4 Al 2.59-2.77, 2 Mn 2.74, 2 Zr 2.78
Al 0.6082 0.1250 0.9832  4 Al 2.59-2.77, 2 Mn 2.74, 2 Zr 2.78
Al 0.8750 0.8582 0.4832  4 Al 2.59-2.77, 2 Mn 2.74, 2 Zr 2.78

=====

# 12
The following is a DFT calculation (PBE) of a geometry-optimized NaSiAgAu2 structure.

Properties
ΔE_f (raw), eV/atom: -0.07
Total magnetization, Bohr magnetons per cell: 0.0
Calculated total energy, eV/f.u.: -16.51
D(E_F), states/eV/cell: 0.73

Lattice parameters (Å, degrees): 4.8214 4.8214 4.9005 90.00 90.00 90.00
With the nearest neighbours (Å) after each atom.
Atoms (fractional coordinates):
Na 0.0000 0.0000 0.0000  4 Ag 3.41, 8 Au 3.44
Si 0.5000 0.5000 0.5000  4 Au 2.41, 2 Ag 2.45
Ag 0.5000 0.5000 0.0000  2 Si 2.45
Au 0.0000 0.5000 0.5000  2 Si 2.41
Au 0.5000 0.0000 0.5000  2 Si 2.41